1) Here is Dy6Tm2Th after structural relaxation from the Alexandria database. Energies are from PBE-GGA.

## Properties
Calculated volume: 33.35 Å³/atom
Fermi-level density of states: 1.12 states/eV per atom
Density: 8.5 g/cm³

Cell lengths 7.704, 7.704, 7.704 Å; angles 56.90, 56.90, 56.90 degrees
Atoms (fractional coordinates):
Dy 0.172 0.172 0.655
Dy 0.172 0.655 0.172
Dy 0.392 0.392 0.820
Dy 0.392 0.820 0.392
Dy 0.655 0.172 0.172
Dy 0.820 0.392 0.392
Tm 0.682 0.682 0.682
Tm 0.857 0.857 0.857
Th 0.118 0.118 0.118



2) Here is Dy6Tm2Th after structural relaxation from the Alexandria database. Energies are from PBE-GGA.

## Properties
Calculated volume: 31.72 Å³/atom
Fermi-level density of states: 1.91 states/eV per atom
Density: 9.0 g/cm³

Cell lengths 3.550, 3.550, 26.158 Å; angles 90.00, 90.00, 120.00 degrees
Atoms (fractional coordinates):
Dy 0.000 0.000 0.066
Dy 0.000 0.000 0.279
Dy 0.000 0.000 0.721
Dy 0.000 0.000 0.934
Dy 0.333 0.667 0.389
Dy 0.333 0.667 0.611
Tm 0.333 0.667 0.171
Tm 0.333 0.667 0.829
Th 0.000 0.000 0.500



Of them, 1) has the lowest stability.